1.
A plane-wave DFT calculation with PBE was carried out for a relaxed structure of Pm2Al3ZnAg4.

DFT total energy: -36.4 eV per cell
symmetry: P-4m2, No. 115
DFT formation energy: -0.298 eV per atom

Unit cell a=4.3861 b=4.3861 c=10.7932 alpha=90.00 beta=90.00 gamma=90.00
Sites, in units of the cell vectors:
Pm1 0.0000 0.5000 0.2483
Pm2 0.5000 0.0000 0.7517
Al1 0.0000 0.0000 0.0000
Al2 0.0000 0.5000 0.6340
Al3 0.5000 0.0000 0.3660
Zn1 0.5000 0.5000 0.0000
Ag1 0.0000 0.0000 0.5000
Ag2 0.0000 0.5000 0.8671
Ag3 0.5000 0.0000 0.1329
Ag4 0.5000 0.5000 0.5000

---

2.
A plane-wave DFT calculation with PBE was carried out for a relaxed structure of PmAlZn2Ag4.

DFT total energy: -23.5 eV per cell
symmetry: R-3m, No. 166
DFT formation energy: -0.130 eV per atom

Unit cell a=9.0371 b=9.0371 c=9.0371 alpha=29.07 beta=29.07 gamma=29.07
Sites, in units of the cell vectors:
Pm1 0.0000 0.0000 0.0000
Al1 0.5000 0.5000 0.5000
Zn1 0.2500 0.2500 0.2500
Zn2 0.7500 0.7500 0.7500
Ag1 0.1328 0.1328 0.1328
Ag2 0.3996 0.3996 0.3996
Ag3 0.6004 0.6004 0.6004
Ag4 0.8672 0.8672 0.8672

---

3.
A plane-wave DFT calculation with PBE was carried out for a relaxed structure of Pm4AlZnAg2.

DFT total energy: -32.0 eV per cell
symmetry: R-3m, No. 166
DFT formation energy: -0.287 eV per atom

Unit cell a=9.1085 b=9.1085 c=9.1085 alpha=33.51 beta=33.51 gamma=33.51
Sites, in units of the cell vectors:
Pm1 0.1230 0.1230 0.1230
Pm2 0.3732 0.3732 0.3732
Pm3 0.6268 0.6268 0.6268
Pm4 0.8770 0.8770 0.8770
Al1 0.5000 0.5000 0.5000
Zn1 0.0000 0.0000 0.0000
Ag1 0.2468 0.2468 0.2468
Ag2 0.7532 0.7532 0.7532

---

4.
A plane-wave DFT calculation with PBE was carried out for a relaxed structure of Pm2AlZn3Ag4.

DFT total energy: -30.9 eV per cell
symmetry: P-4m2, No. 115
DFT formation energy: -0.242 eV per atom

Unit cell a=4.1753 b=4.1753 c=11.8231 alpha=90.00 beta=90.00 gamma=90.00
Sites, in units of the cell vectors:
Pm1 0.0000 0.5000 0.2491
Pm2 0.5000 0.0000 0.7509
Al1 0.0000 0.0000 0.5000
Zn1 0.0000 0.5000 0.8586
Zn2 0.5000 0.0000 0.1414
Zn3 0.5000 0.5000 0.5000
Ag1 0.0000 0.0000 0.0000
Ag2 0.0000 0.5000 0.6395
Ag3 0.5000 0.0000 0.3605
Ag4 0.5000 0.5000 0.0000